{
  "formula": "DyV2PbO8",
  "functional": "PBE with a Hubbard U",
  "state": "optimized geometry",
  "magnetic_moment_mub_per_atom": 0.000,
  "volume_a3_per_atom": 16.62,
  "n_ef_per_ev_cell": 3.79,
  "lattice_angstrom": [[-4.719, -0.791, 3.401], [1.074, -3.692, -4.435], [3.599, -3.870, 4.094]],
  "species": ["O", "O", "O", "O", "O", "O", "O", "O", "Dy", "V", "V", "Pb"],
  "fractional_positions": [[0.834, 0.165, 0.272], [0.333, 0.667, 0.054], [0.331, 0.166, 0.272], [0.669, 0.834, 0.728], [0.166, 0.835, 0.728], [0.667, 0.333, 0.946], [0.835, 0.669, 0.272], [0.165, 0.331, 0.728], [0.000, 0.000, 0.500], [0.333, 0.667, 0.808], [0.667, 0.333, 0.192], [0.000, 0.000, 0.000]]
}

{
  "formula": "Dy2VPbO6",
  "functional": "PBE with a Hubbard U",
  "state": "optimized geometry",
  "magnetic_moment_mub_per_atom": 0.100,
  "volume_a3_per_atom": 16.32,
  "lattice_angstrom": [[5.611, 0.000, 0.000], [0.000, 5.392, 0.000], [0.000, 0.000, 5.392]],
  "species": ["Pb", "O", "O", "O", "O", "O", "O", "Dy", "Dy", "V"],
  "fractional_positions": [[0.518, 0.500, 0.500], [0.752, 0.769, 0.231], [0.752, 0.769, 0.769], [0.752, 0.231, 0.231], [0.292, 0.000, 0.000], [0.752, 0.231, 0.769], [0.107, 0.500, 0.500], [0.957, 0.000, 0.500], [0.957, 0.500, 0.000], [0.607, 0.000, 0.000]]
}

{
  "formula": "Dy2PbWO8",
  "functional": "PBE with a Hubbard U",
  "state": "optimized geometry",
  "magnetic_moment_mub_per_atom": 0.000,
  "volume_a3_per_atom": 14.27,
  "lattice_angstrom": [[-4.022, -2.862, 0.805], [1.504, -0.406, 4.750], [-3.639, 5.573, 1.630]],
  "species": ["Dy", "Dy", "Pb", "O", "O", "O", "O", "O", "O", "O", "O", "W"],
  "fractional_positions": [[0.500, 0.500, 0.757], [0.500, 0.500, 0.243], [0.000, 0.000, 0.500], [0.818, 0.184, 0.786], [0.702, 0.703, 0.500], [0.298, 0.297, 0.500], [0.282, 0.281, 0.000], [0.182, 0.816, 0.786], [0.818, 0.184, 0.214], [0.182, 0.816, 0.214], [0.718, 0.719, 0.000], [0.000, 0.000, 0.000]]
}

{
  "formula": "DyPb2WO6",
  "functional": "PBE with a Hubbard U",
  "state": "optimized geometry",
  "magnetic_moment_mub_per_atom": 0.100,
  "volume_a3_per_atom": 14.89,
  "n_ef_per_ev_cell": 0.00,
  "lattice_angstrom": [[-2.229, 4.494, 2.908], [-2.488, -3.796, 3.958], [7.010, 0.451, 4.838]],
  "species": ["O", "O", "O", "O", "O", "O", "O", "O", "O", "O", "O", "O", "Pb", "Pb", "Pb", "Pb", "W", "W", "Dy", "Dy"],
  "fractional_positions": [[0.686, 0.268, 0.530], [0.566, 0.025, 0.262], [0.797, 0.817, 0.519], [0.934, 0.525, 0.238], [0.434, 0.975, 0.738], [0.314, 0.732, 0.470], [0.814, 0.768, 0.970], [0.203, 0.183, 0.481], [0.066, 0.475, 0.762], [0.297, 0.683, 0.019], [0.186, 0.232, 0.030], [0.703, 0.317, 0.981], [0.990, 0.958, 0.267], [0.510, 0.458, 0.233], [0.010, 0.042, 0.733], [0.490, 0.542, 0.767], [0.500, 0.000, 0.500], [0.000, 0.500, 0.000], [0.000, 0.500, 0.500], [0.500, 0.000, 0.000]]
}

Raw total energy
In order: -86.94 -73.60 -88.26 -139.57
Unit: eV/cell